Entry 1:
The following is a PBE calculation of a geometry-optimized CdHgP4 structure, from Alexandria via LeMat-Bulk.

```
CdHgP4
1.0
0.000 4.662 4.662
4.662 0.000 4.662
4.662 4.662 0.000
Cd Hg P
1 1 4
Cartesian
0.000 0.000 0.000
6.992 6.992 6.992
3.882 3.882 3.882
5.441 5.441 3.882
5.441 3.882 5.441
3.882 5.441 5.441
```

Summary:
space group	F-43m (216)
crystal system	cubic
energy relative to the elements	0.2104	eV per atom

=====

Entry 2:
The following is a PBE calculation of a geometry-optimized Cd2HgP structure, from Alexandria via LeMat-Bulk.

```
Cd2HgP
1.0
2.211 -2.587 0.000
2.211 2.587 0.000
0.000 0.000 7.702
Cd Hg P
2 1 1
Cartesian
0.000 0.000 1.683
0.000 0.000 6.018
2.211 0.000 3.851
2.211 0.000 0.000
```

Summary:
space group	Cmmm (65)
crystal system	orthorhombic
energy relative to the elements	0.2416	eV per atom